Compound: Li2LaVF8
Source: Alexandria via LeMat-Bulk
Functional: PBE+U
Structure: optimized geometry

Summary:
Crystal system: triclinic
Density of states at the Fermi level, states/eV/atom: 0.00
Electronic total energy, eV per atom: -5.873
Volume, Å³ per atom: 13.30

CIF file:
```
data_Li2LaVF8
_symmetry_space_group_name_H-M 'P 1'
_symmetry_Int_Tables_number 1
_symmetry_space_group_name_Hall 'P 1'
_cell_length_a 4.555
_cell_length_b 4.899
_cell_length_c 7.184
_cell_angle_alpha 85.48
_cell_angle_beta 89.19
_cell_angle_gamma 86.95
loop_
_atom_site_label
_atom_site_fract_x
_atom_site_fract_y
_atom_site_fract_z
_atom_site_occupancy
Li1 0.032 0.034 0.302 1
Li2 0.968 0.966 0.698 1
La1 0.500 0.500 0.000 1
V1 0.500 0.500 0.500 1
F1 0.127 0.220 0.054 1
F2 0.195 0.234 0.509 1
F3 0.317 0.708 0.704 1
F4 0.323 0.724 0.276 1
F5 0.677 0.276 0.724 1
F6 0.683 0.292 0.296 1
F7 0.805 0.766 0.491 1
F8 0.873 0.780 0.946 1
```